The following is a DFT calculation (PBE) of a relaxed K4Br3Cl crystal.

a = 4.659 Å, b = 8.117 Å, c = 8.117 Å
α = 109.28°, β = 90.00°, γ = 90.00°
Fractional coordinates of all 8 atoms:
1 K 0.000 0.241 0.241
2 K 0.500 0.755 0.245
3 K 0.000 0.759 0.759
4 K 0.500 0.245 0.755
5 Br 0.000 0.000 0.500
6 Br 0.500 0.500 0.500
7 Br 0.000 0.500 0.000
8 Cl 0.500 0.000 0.000

Summary:
Space-group type   Cmmm, No. 65
Energy relative to the elements, uncorrected   -1.80 eV per atom
Theoretical density   2.47 g cm⁻³
DFT total energy   -3.21 eV per atom